Sb3OsS | Alexandria via LeMat-Bulk | PBEsol | optimized geometry; Fermi-level density of states = 4.1 states/eV per cell; calculated volume = 23.45 Å³ per atom; VASP energy = -4.688 eV/atom
1.0
4.8942 0.0000 0.0000
0.0000 4.8942 0.0000
0.0000 0.0000 4.8942
Sb Os S
3 1 1
Cartesian
0.0000 0.0000 2.4471
0.0000 2.4471 0.0000
2.4471 0.0000 0.0000
2.4471 2.4471 2.4471
0.0000 0.0000 0.0000



ScOsS2 | Alexandria via LeMat-Bulk | PBEsol | optimized geometry; Fermi-level density of states = 4.4 states/eV per cell; calculated volume = 20.30 Å³ per atom; VASP energy = -7.120 eV/atom
1.0
1.8061 1.0427 7.1850
-1.8061 1.0427 7.1850
0.0000 -2.0855 7.1850
Sc Os S
1 1 2
Cartesian
0.0000 0.0000 0.0000
0.0000 0.0000 10.7775
0.0000 0.0000 2.4833
0.0000 0.0000 19.0716



Sc2OsS | Alexandria via LeMat-Bulk | PBEsol | optimized geometry; Fermi-level density of states = 2.9 states/eV per cell; calculated volume = 19.59 Å³ per atom; VASP energy = -7.646 eV/atom
1.0
1.6173 0.9337 8.6484
-1.6173 0.9337 8.6484
0.0000 -1.8675 8.6484
Sc Os S
2 1 1
Cartesian
0.0000 0.0000 2.4046
0.0000 0.0000 23.5407
0.0000 0.0000 12.9726
0.0000 0.0000 0.0000



Which of these has the lowest calculated volume? Sc2OsS



The lowest Fermi-level density of states belongs to which entry? Sc2OsS